VASP calculation (meta-GGA SCAN) on MnAgHg at its PBEsol-relaxed geometry.

Lattice parameters (Å, degrees): 3.0516 3.8566 8.6682 90.00 90.00 90.00
With the nearest neighbours (Å) after each atom.
Space group Imm2 (No. 44)
Asymmetric unit:
Mn  0.0000  0.0000  0.0000  5 Ag 2.83-2.93, 5 Hg 2.85-2.90, 2 Mn 3.05
Ag  0.0000  0.0000  0.6615  5 Mn 2.83-2.93, 5 Hg 2.84-2.88, 2 Ag 3.05
Hg  0.0000  0.0000  0.3344  5 Ag 2.84-2.88, 5 Mn 2.85-2.90, 2 Hg 3.05

Properties
total magnetization: 8.7 μB per cell
calculated formation energy: -0.043 eV per atom